4
Lattice="0.000 3.299 3.299 3.299 0.000 3.299 3.299 3.299 0.000" Properties=species:S:1:pos:R:3 comment="TlCuGePd PBE relaxed" space_group="F-43m (216)" relative_energy_ev_per_fu=0.360 pbc="T T T"
Tl 0.000 0.000 0.000
Cu 4.948 4.948 4.948
Ge 1.649 1.649 1.649
Pd 3.299 3.299 3.299